Sc3Co2 | PBE | optimized geometry

Cell: 9.5510 9.5510 9.5510 Å, 20.74 20.74 20.74°
Sites, in units of the cell vectors:
Sc (0.0000, 0.0000, 0.0000)
Sc (0.2207, 0.2207, 0.2207)
Sc (0.7793, 0.7793, 0.7793)
Co (0.3938, 0.3938, 0.3938)
Co (0.6062, 0.6062, 0.6062)

**Density of states at the Fermi level**: 3.1 states/eV/f.u.
**Excess energy over the best structure of this formula in the dataset**: 241 meV per atom
**ΔH_f (0 K)**: 0.012 eV/atom